[1]
Material: Sr2Sb2I
Method: DFT, PBE
State: optimized geometry

a = 8.974 Å, b = 8.974 Å, c = 4.605 Å
α = 90.00°, β = 90.00°, γ = 90.00°
Sites, in units of the cell vectors:
I 0.000 0.000 0.000
I 0.500 0.500 0.000
Sb 0.390 0.110 0.500
Sb 0.610 0.890 0.500
Sb 0.890 0.390 0.500
Sr 0.677 0.177 0.000
Sr 0.323 0.823 0.000
Sb 0.110 0.610 0.500
Sr 0.823 0.677 0.000
Sr 0.177 0.323 0.000

N(E_F)	5.2	states/eV/f.u.
space group	P4/mbm
E	-0.1320	hartree per atom
energy relative to the lowest polymorph listed for this composition	0	meV per atom

---

[2]
Material: Nd2Hg8Pb
Method: DFT, PBE
State: optimized geometry

a = 4.816 Å, b = 7.264 Å, c = 9.320 Å
α = 109.96°, β = 104.97°, γ = 90.00°
Sites, in units of the cell vectors:
Hg 0.969 0.285 0.939
Hg 0.614 0.429 0.228
Hg 0.154 0.193 0.308
Hg 0.349 0.118 0.698
Hg 0.386 0.571 0.772
Nd 0.784 0.309 0.569
Nd 0.216 0.691 0.431
Pb 0.500 0.000 0.000
Hg 0.651 0.882 0.302
Hg 0.846 0.807 0.692
Hg 0.031 0.715 0.061

N(E_F)	4.7	states/eV/f.u.
space group	C2/m
formation enthalpy at 0 K	-0.238	eV per atom
E	-0.0611	hartree per atom

---

[3]
Material: Re4Tc3Rh2
Method: DFT, PBE
State: optimized geometry

a = 5.203 Å, b = 7.092 Å, c = 7.310 Å
α = 98.75°, β = 95.94°, γ = 96.36°
Sites, in units of the cell vectors:
Tc 0.703 0.951 0.219
Tc 0.967 0.716 0.779
Re 0.152 0.399 0.888
Re 0.069 0.823 0.445
Re 0.808 0.067 0.887
Rh 0.741 0.492 0.445
Rh 0.483 0.731 0.888
Re 0.407 0.155 0.444
Tc 0.628 0.379 0.778
Tc 0.297 0.049 0.781
Re 0.848 0.601 0.112
Re 0.931 0.177 0.555
Tc 0.372 0.621 0.222
Tc 0.033 0.284 0.221
Rh 0.517 0.269 0.112
Re 0.192 0.933 0.113
Rh 0.259 0.508 0.555
Re 0.593 0.845 0.556

N(E_F)	7.8	states/eV/f.u.
space group	P-1
formation enthalpy at 0 K	-0.085	eV per atom
E	-0.3934	hartree per atom

---

[4]
Material: KNa2TmI6
Method: DFT, PBE
State: optimized geometry

a = 8.152 Å, b = 8.151 Å, c = 8.796 Å
α = 62.39°, β = 62.38°, γ = 59.97°
Sites, in units of the cell vectors:
I 0.947 0.570 0.237
I 0.570 0.246 0.237
I 0.138 0.379 0.765
I 0.719 0.137 0.765
Na 0.517 0.517 0.450
Tm 0.328 0.328 0.016
I 0.246 0.947 0.237
Na 0.004 0.004 0.988
I 0.379 0.718 0.765
K 0.814 0.814 0.557

N(E_F)	0.0	states/eV/f.u.
space group	R3
E	-0.1135	hartree per atom

---

[5]
Material: AcIn2S4
Method: DFT, PBE
State: optimized geometry

a = 4.073 Å, b = 6.736 Å, c = 13.140 Å
α = 90.00°, β = 90.00°, γ = 107.60°
Sites, in units of the cell vectors:
In 0.130 0.260 0.062
S 0.941 0.882 0.750
S 0.500 0.000 0.000
S 0.776 0.553 0.116
S 0.776 0.553 0.384
S 0.500 0.000 0.500
In 0.870 0.740 0.562
S 0.224 0.447 0.884
Ac 0.611 0.223 0.750
Ac 0.389 0.777 0.250
In 0.870 0.740 0.938
S 0.059 0.118 0.250
In 0.130 0.260 0.438
S 0.224 0.447 0.616

N(E_F)	1.5	states/eV/f.u.
space group	Cmcm
E	-0.1760	hartree per atom
energy relative to the lowest polymorph listed for this composition	0	meV per atom

---

[6]
Material: AcCu6Pt2
Method: DFT, PBE
State: optimized geometry

a = 4.827 Å, b = 4.827 Å, c = 8.587 Å
α = 90.00°, β = 90.00°, γ = 120.00°
Sites, in units of the cell vectors:
Cu 0.500 0.500 0.246
Cu 0.500 0.000 0.754
Pt 0.667 0.333 0.500
Cu 0.000 0.500 0.246
Cu 0.500 0.500 0.754
Pt 0.333 0.667 0.500
Cu 0.000 0.500 0.754
Ac 0.000 0.000 0.000
Cu 0.500 0.000 0.246

N(E_F)	5.4	states/eV/f.u.
space group	P6/mmm
formation enthalpy at 0 K	0.116	eV per atom
E	-0.1622	hartree per atom

---

[7]
Material: CaMn2Be
Method: DFT, PBE
State: optimized geometry

a = 5.430 Å, b = 5.430 Å, c = 5.430 Å
α = 148.67°, β = 127.44°, γ = 62.48°
Sites, in units of the cell vectors:
Mn 0.048 0.048 0.000
Be 0.250 0.750 0.500
Mn 0.452 0.452 0.000
Ca 0.750 0.250 0.500

N(E_F)	4.5	states/eV/f.u.
space group	Immm
formation enthalpy at 0 K	0.490	eV per atom
E	-0.2031	hartree per atom

---

[8]
Material: K2Sn5Au4
Method: DFT, PBE
State: optimized geometry

a = 6.541 Å, b = 7.365 Å, c = 7.377 Å
α = 80.03°, β = 63.68°, γ = 63.64°
Sites, in units of the cell vectors:
Au 0.747 0.589 0.917
Sn 0.243 0.824 0.175
K 0.304 0.696 0.695
Au 0.254 0.084 0.409
Au 0.253 0.411 0.083
Sn 0.242 0.176 0.825
Sn 0.000 0.500 0.500
Sn 0.757 0.176 0.825
Sn 0.758 0.824 0.175
K 0.696 0.304 0.305
Au 0.746 0.916 0.591

N(E_F)	4.3	states/eV/f.u.
space group	C2/m
formation enthalpy at 0 K	-0.190	eV per atom
E	-0.1250	hartree per atom